P:
# PuAg2Pd GGA-PBE relaxed
data_PuAg2Pd
_chemical_formula_sum 'Pu4 Ag8 Pd4'
_cell_length_a 9.630
_cell_length_b 5.785
_cell_length_c 5.764
_cell_angle_alpha 90.00
_cell_angle_beta 90.00
_cell_angle_gamma 90.00
_symmetry_space_group_name_H-M 'P 1'
_symmetry_Int_Tables_number 1
_symmetry_space_group_name_Hall 'P 1'
loop_
_atom_site_label
_atom_site_type_symbol
_atom_site_fract_x
_atom_site_fract_y
_atom_site_fract_z
_atom_site_occupancy
Pu1 Pu 0.000 0.249 0.250 1
Pu2 Pu 0.000 0.751 0.750 1
Pu3 Pu 0.500 0.251 0.750 1
Pu4 Pu 0.500 0.749 0.250 1
Ag1 Ag 0.250 0.000 0.000 1
Ag2 Ag 0.250 0.000 0.500 1
Ag3 Ag 0.250 0.500 0.000 1
Ag4 Ag 0.250 0.500 0.500 1
Ag5 Ag 0.750 0.000 0.000 1
Ag6 Ag 0.750 0.000 0.500 1
Ag7 Ag 0.750 0.500 0.000 1
Ag8 Ag 0.750 0.500 0.500 1
Pd1 Pd 0.000 0.251 0.750 1
Pd2 Pd 0.000 0.749 0.250 1
Pd3 Pd 0.500 0.249 0.250 1
Pd4 Pd 0.500 0.751 0.750 1
# - SG = Cmcm



Q:
# PuAg2Pd GGA-PBE relaxed
data_PuAg2Pd
_chemical_formula_sum 'Pu4 Ag8 Pd4'
_cell_length_a 3.018
_cell_length_b 10.688
_cell_length_c 9.784
_cell_angle_alpha 90.00
_cell_angle_beta 90.00
_cell_angle_gamma 90.00
_symmetry_space_group_name_H-M 'P 1'
_symmetry_Int_Tables_number 1
_symmetry_space_group_name_Hall 'P 1'
loop_
_atom_site_label
_atom_site_type_symbol
_atom_site_fract_x
_atom_site_fract_y
_atom_site_fract_z
_atom_site_occupancy
Pu1 Pu 0.000 0.034 0.250 1
Pu2 Pu 0.000 0.966 0.750 1
Pu3 Pu 0.500 0.466 0.750 1
Pu4 Pu 0.500 0.534 0.250 1
Ag1 Ag 0.000 0.365 0.020 1
Ag2 Ag 0.000 0.365 0.480 1
Ag3 Ag 0.000 0.635 0.520 1
Ag4 Ag 0.000 0.635 0.980 1
Ag5 Ag 0.500 0.135 0.520 1
Ag6 Ag 0.500 0.135 0.980 1
Ag7 Ag 0.500 0.865 0.020 1
Ag8 Ag 0.500 0.865 0.480 1
Pd1 Pd 0.000 0.231 0.750 1
Pd2 Pd 0.000 0.769 0.250 1
Pd3 Pd 0.500 0.269 0.250 1
Pd4 Pd 0.500 0.731 0.750 1
# - SG = Cmcm



Most stable: P. Least stable: Q.